[1]
Material: CsMnTc3
Method: DFT, PBE
State: relaxed

Summary:
* E_form: 1.694 eV/atom
* symmetry: Pm-3m, No. 221
* theoretical density: 7.85 g/cm3
* crystal system: cubic
* polymorph energy (0 for the lowest one): 0.000 eV per atom

Cell lengths 4.6717, 4.6717, 4.6717 Å; angles 90.00, 90.00, 90.00 degrees
Each line ends with the local moment (μB).
Atoms (fractional coordinates):
1 Tc 0.0000 0.0000 0.5000  1.10
2 Tc 0.0000 0.5000 0.0000  1.19
3 Tc 0.5000 0.0000 0.0000  0.86
4 Cs 0.5000 0.5000 0.5000  0.10
5 Mn 0.0000 0.0000 0.0000  -0.51

=====

[2]
Material: BaLiCd2Bi
Method: DFT, PBE
State: relaxed

Summary:
* E_form: -0.329 eV/atom
* symmetry: P4/mmm, No. 123
* theoretical density: 6.41 g/cm3
* crystal system: tetragonal

Cell lengths 5.2216, 5.2216, 5.4912 Å; angles 90.00, 90.00, 90.00 degrees
Atoms (fractional coordinates):
1 Ba 0.5000 0.5000 0.5000
2 Cd 0.0000 0.5000 0.0000
3 Cd 0.5000 0.0000 0.0000
4 Bi 0.0000 0.0000 0.5000
5 Li 0.0000 0.0000 0.0000

=====

[3]
Material: Ac7Tl4Pb
Method: DFT, PBE
State: relaxed

Summary:
* E_form: -0.209 eV/atom
* symmetry: C2/m, No. 12
* theoretical density: 9.25 g/cm3
* crystal system: monoclinic

Cell lengths 6.2686, 9.7232, 9.6214 Å; angles 59.56, 70.99, 71.19 degrees
Atoms (fractional coordinates):
1 Pb 0.0000 0.0000 0.0000
2 Ac 0.7179 0.3803 0.1838
3 Ac 0.2821 0.6197 0.8162
4 Ac 0.0726 0.5981 0.2567
5 Ac 0.9274 0.4019 0.7433
6 Ac 0.5000 0.0000 0.0000
7 Tl 0.7124 0.7477 0.8274
8 Ac 0.8385 0.9138 0.4092
9 Tl 0.4503 0.6947 0.4048
10 Tl 0.5497 0.3053 0.5952
11 Tl 0.2876 0.2523 0.1726
12 Ac 0.1615 0.0862 0.5908

=====

[4]
Material: Ag3P2O8
Method: DFT, PBE
State: relaxed

Summary:
* E_form (uncorrected): -1.18 eV per atom
* symmetry: R3, No. 146
* theoretical density: 4.22 g/cm3
* crystal system: trigonal

Cell lengths 5.8948, 5.8948, 5.8948 Å; angles 84.41, 84.41, 84.41 degrees
Atoms (fractional coordinates):
1 O 0.1046 0.8704 0.2386
2 Ag 0.9854 0.5269 0.2478
3 P 0.0219 0.0219 0.0219
4 O 0.8704 0.2386 0.1046
5 Ag 0.5269 0.2478 0.9854
6 P 0.4793 0.4793 0.4793
7 O 0.3040 0.6166 0.6362
8 O 0.8869 0.8869 0.8869
9 O 0.6362 0.3040 0.6166
10 Ag 0.2478 0.9854 0.5269
11 O 0.2386 0.1046 0.8704
12 O 0.6166 0.6362 0.3040
13 O 0.3315 0.3315 0.3315

=====

[5]
Material: Rb2PrCu2Te4
Method: DFT, PBE
State: relaxed

Summary:
* E_form (uncorrected): -0.83 eV per atom
* symmetry: C2/m, No. 12
* theoretical density: 5.25 g/cm3
* crystal system: monoclinic

Cell lengths 4.3758, 8.8715, 8.4603 Å; angles 108.10, 104.99, 90.00 degrees
Atoms (fractional coordinates):
1 Rb 0.8669 0.4492 0.7339
2 Cu 0.3221 0.0130 0.6442
3 Pr 0.0000 0.0000 0.0000
4 Te 0.4746 0.2393 0.9492
5 Cu 0.6779 0.9870 0.3558
6 Rb 0.1331 0.5508 0.2661
7 Te 0.7942 0.8299 0.5883
8 Te 0.5254 0.7607 0.0508
9 Te 0.2058 0.1701 0.4117

=====

[6]
Material: RbSnHg2Au
Method: DFT, PBE
State: relaxed

Summary:
* E_form: -0.036 eV/atom
* symmetry: P4/mmm, No. 123
* theoretical density: 7.92 g/cm3
* crystal system: tetragonal
* polymorph energy (0 for the lowest one): 0.060 eV per atom

Cell lengths 5.5619, 5.5619, 5.4368 Å; angles 90.00, 90.00, 90.00 degrees
Atoms (fractional coordinates):
1 Hg 0.5000 0.0000 0.0000
2 Sn 0.0000 0.0000 0.5000
3 Rb 0.5000 0.5000 0.5000
4 Au 0.0000 0.0000 0.0000
5 Hg 0.0000 0.5000 0.0000

=====

Number 5 is which compound? Rb2PrCu2Te4

=====

Repeat the third record exactly.
Material: Ac7Tl4Pb
Method: DFT, PBE
State: relaxed

Summary:
* E_form: -0.209 eV/atom
* symmetry: C2/m, No. 12
* theoretical density: 9.25 g/cm3
* crystal system: monoclinic

Cell lengths 6.2686, 9.7232, 9.6214 Å; angles 59.56, 70.99, 71.19 degrees
Atoms (fractional coordinates):
1 Pb 0.0000 0.0000 0.0000
2 Ac 0.7179 0.3803 0.1838
3 Ac 0.2821 0.6197 0.8162
4 Ac 0.0726 0.5981 0.2567
5 Ac 0.9274 0.4019 0.7433
6 Ac 0.5000 0.0000 0.0000
7 Tl 0.7124 0.7477 0.8274
8 Ac 0.8385 0.9138 0.4092
9 Tl 0.4503 0.6947 0.4048
10 Tl 0.5497 0.3053 0.5952
11 Tl 0.2876 0.2523 0.1726
12 Ac 0.1615 0.0862 0.5908

=====

Which of these has the lowest theoretical density? Ag3P2O8

=====

theoretical density of number 6 (RbSnHg2Au)? 7.92 g/cm3